Computed, not measured: Ta3Mo2 at its PBEsol-relaxed geometry at the meta-GGA SCAN level of DFT.

Summary:
- crystal system = monoclinic
- ΔH_f (0 K) (meV per atom) = -153
- energy relative to the lowest polymorph listed for this composition (meV/atom) = 0
- total energy (eV/atom) = -54.057

Lattice parameters (Å, degrees): 5.3262 5.3262 7.1356 131.79 131.79 34.86
Last column: nearest neighbours and their distance in Å.
Fractional coordinates of all 5 atoms:
Ta 0.0000 0.0000 0.0000  4 Mo 2.75, 4 Ta 2.85
Ta 0.1904 0.1904 0.5928  4 Mo 2.74-2.78, 4 Ta 2.83-2.85
Ta 0.8096 0.8096 0.4072  4 Mo 2.74-2.78, 4 Ta 2.83-2.85
Mo 0.3956 0.3956 0.1922  2 Mo 2.74, 6 Ta 2.74-2.78
Mo 0.6044 0.6044 0.8078  2 Mo 2.74, 6 Ta 2.74-2.78